Model one:
The following is a DFT calculation (PBEsol) of an optimized crystal structure of TiPS2N.

```
5
Lattice="-0.421 0.451 3.194 2.138 -3.977 0.843 4.021 2.208 0.217" Properties=species:S:1:pos:R:3 pbc="T T T"
P 0.000 0.000 0.000
S 2.011 1.104 0.109
S 1.069 -1.988 0.422
N -0.210 0.226 1.597
Ti 2.869 -0.659 2.128
```

**Space group**: P4/mmm
**Magnetization**: 1.56 Bohr magnetons per cell


Model two:
The following is a DFT calculation (PBEsol) of an optimized crystal structure of TiPS2N.

```
5
Lattice="-1.760 0.076 4.225 -0.506 -4.547 -0.129 4.359 -0.537 1.825" Properties=species:S:1:pos:R:3 pbc="T T T"
P 2.179 -0.268 0.913
S -0.253 -2.274 -0.065
S -0.880 0.038 2.112
N 1.047 -2.504 2.960
Ti 0.000 0.000 0.000
```

**Space group**: P4/mmm
**Magnetization**: 2.09 Bohr magnetons per cell


model one is preferred energetically. Next in line: 864 meV per atom higher.


Model one:
The following is a DFT calculation (PBEsol) of an optimized crystal structure of YPS2N.

```
5
Lattice="-1.907 -4.704 1.032 4.670 -2.078 -0.838 1.226 0.649 5.224" Properties=species:S:1:pos:R:3 pbc="T T T"
Y 0.000 0.000 0.000
P 0.613 0.325 2.612
S 2.335 -1.039 -0.419
S -0.954 -2.352 0.516
N 1.994 -3.066 2.709
```

**Space group**: P4/mmm
**Magnetization**: 1.90 Bohr magnetons per cell


Model two:
The following is a DFT calculation (PBEsol) of an optimized crystal structure of YPS2N.

```
5
Lattice="-2.147 3.676 -0.365 -3.149 -1.457 3.843 3.182 2.200 3.441" Properties=species:S:1:pos:R:3 pbc="T T T"
Y 0.000 0.000 0.000
P -1.057 2.210 3.460
S 1.591 1.100 1.721
S -1.574 -0.729 1.922
N -1.073 1.838 -0.183
```

**Space group**: P4/mmm
**Magnetization**: 2.20 Bohr magnetons per cell


model two is preferred energetically. Next in line: 459 meV per atom higher.


Model one:
The following is a DFT calculation (PBEsol) of an optimized crystal structure of SbTePN2.

```
5
Lattice="3.951 0.000 0.000 0.000 3.951 0.000 0.000 0.000 6.443" Properties=species:S:1:pos:R:3 pbc="T T T"
Sb 0.000 0.000 0.000
N 0.000 1.975 0.000
N 1.975 0.000 0.000
Te 0.000 0.000 3.222
P 1.975 1.975 3.222
```

**Space group**: P4/mmm
**Magnetization**: 1.78 Bohr magnetons per cell


Model two:
The following is a DFT calculation (PBEsol) of an optimized crystal structure of SbTePN2.

```
5
Lattice="3.916 0.000 0.000 0.000 3.916 0.000 0.000 0.000 5.052" Properties=species:S:1:pos:R:3 pbc="T T T"
Sb 1.958 1.958 2.526
N 0.000 1.958 0.000
N 1.958 0.000 0.000
Te 0.000 0.000 2.526
P 0.000 0.000 0.000
```

**Space group**: P4/mmm
**Magnetization**: 0.16 Bohr magnetons per cell


model two is preferred energetically. Next in line: 177 meV per atom higher.